Model a:
Below is an optimized crystal structure of AcMgGa, with properties calculated at the PBE level.

Summary:
**Total moment**: 0.000 μB/cell

Lattice parameters (Å, degrees): 4.524 4.524 9.425 104.21 104.21 89.06
Positions (direct):
1 Mg 0.759 0.759 0.500
2 Mg 0.241 0.241 0.500
3 Ac 0.675 0.675 0.849
4 Ac 0.325 0.325 0.151
5 Ga 0.136 0.136 0.769
6 Ga 0.864 0.864 0.231

***

Model b:
Below is an optimized crystal structure of AcMgGa, with properties calculated at the PBE level.

Summary:
**Total moment**: 0.000 μB/cell

Lattice parameters (Å, degrees): 3.652 3.652 6.750 105.69 105.69 90.00
Positions (direct):
1 Ac 0.626 0.626 0.253
2 Mg 0.919 0.919 0.838
3 Ga 0.305 0.305 0.610

***

Model c:
Below is an optimized crystal structure of AcMgGa, with properties calculated at the PBE level.

Summary:
**Total moment**: 0.000 μB/cell

Lattice parameters (Å, degrees): 4.782 7.797 7.797 120.00 90.00 90.00
Positions (direct):
1 Ac 0.500 0.423 0.423
2 Ac 0.500 0.000 0.577
3 Ac 0.500 0.577 0.000
4 Mg 0.000 0.760 0.760
5 Mg 0.000 0.000 0.240
6 Mg 0.000 0.240 0.000
7 Ga 0.000 0.333 0.667
8 Ga 0.000 0.667 0.333
9 Ga 0.500 0.000 0.000

***

Energetically preferred structure: model c | next structure: +214 meV/atom

***

Model a:
Below is an optimized crystal structure of AcMgGa, with properties calculated at the PBE level.

Summary:
**Total moment**: 0.000 μB/cell

Lattice parameters (Å, degrees): 5.095 5.095 5.095 60.00 60.00 60.00
Positions (direct):
1 Ac 0.000 0.000 0.000
2 Mg 0.500 0.500 0.500
3 Ga 0.250 0.250 0.250

***

Model b:
Below is an optimized crystal structure of AcMgGa, with properties calculated at the PBE level.

Summary:
**Total moment**: 0.280 μB/cell

Lattice parameters (Å, degrees): 4.630 4.630 7.799 90.00 90.00 90.00
Positions (direct):
1 Ac 0.500 0.500 0.341
2 Ac 0.000 0.000 0.659
3 Mg 0.500 0.000 0.000
4 Mg 0.000 0.500 0.000
5 Ga 0.500 0.500 0.774
6 Ga 0.000 0.000 0.226

***

Model c:
Below is an optimized crystal structure of AcMgGa, with properties calculated at the PBE level.

Summary:
**Total moment**: 0.001 μB/cell

Lattice parameters (Å, degrees): 4.054 4.938 4.938 120.00 90.00 90.00
Positions (direct):
1 Ac 0.667 0.667 0.333
2 Mg 0.167 0.333 0.667
3 Ga 0.166 0.000 0.000

***

Energetically preferred structure: model b | next structure: +75 meV/atom

***

Model a:
Below is an optimized crystal structure of Ac3Mg2Ga3, with properties calculated at the PBE level.

Summary:
**Total moment**: 0.000 μB/cell

Lattice parameters (Å, degrees): 3.966 5.071 12.005 102.19 99.51 90.00
Positions (direct):
1 Ac 0.624 0.624 0.248
2 Ac 0.376 0.376 0.752
3 Ac 0.500 0.000 0.000
4 Mg 0.750 0.250 0.500
5 Mg 0.250 0.750 0.500
6 Ga 0.162 0.162 0.324
7 Ga 0.000 0.500 0.000
8 Ga 0.838 0.838 0.676

***

Model b:
Below is an optimized crystal structure of Ac3Mg2Ga3, with properties calculated at the PBE level.

Summary:
**Total moment**: 0.009 μB/cell

Lattice parameters (Å, degrees): 4.715 6.645 15.733 90.00 90.00 110.78
Positions (direct):
1 Ac 0.933 0.866 0.383
2 Ac 0.067 0.134 0.883
3 Ac 0.933 0.866 0.117
4 Ac 0.067 0.134 0.617
5 Ac 0.649 0.297 0.250
6 Ac 0.351 0.703 0.750
7 Mg 0.778 0.556 0.924
8 Mg 0.222 0.444 0.424
9 Mg 0.778 0.556 0.576
10 Mg 0.222 0.444 0.076
11 Ga 0.598 0.197 0.457
12 Ga 0.402 0.803 0.957
13 Ga 0.598 0.197 0.043
14 Ga 0.402 0.803 0.543
15 Ga 0.334 0.668 0.250
16 Ga 0.666 0.332 0.750

***

Energetically preferred structure: model b | next structure: +132 meV/atom

***

Model a:
Below is an optimized crystal structure of AcMg4Ga, with properties calculated at the PBE level.

Summary:
**Total moment**: 0.000 μB/cell

Lattice parameters (Å, degrees): 4.563 8.007 8.454 90.00 90.00 90.00
Positions (direct):
1 Ac 0.000 0.618 0.750
2 Ac 0.000 0.382 0.250
3 Mg 0.000 0.000 0.500
4 Mg 0.000 0.000 0.000
5 Mg 0.500 0.956 0.750
6 Mg 0.500 0.044 0.250
7 Mg 0.500 0.697 0.061
8 Mg 0.500 0.303 0.939
9 Mg 0.500 0.697 0.439
10 Mg 0.500 0.303 0.561
11 Ga 0.000 0.217 0.750
12 Ga 0.000 0.783 0.250

***

Model b:
Below is an optimized crystal structure of AcMg4Ga, with properties calculated at the PBE level.

Summary:
**Total moment**: 0.000 μB/cell

Lattice parameters (Å, degrees): 6.104 6.104 6.104 60.00 60.00 60.00
Positions (direct):
1 Ac 0.250 0.250 0.250
2 Mg 0.626 0.626 0.123
3 Mg 0.626 0.123 0.626
4 Mg 0.626 0.626 0.626
5 Mg 0.123 0.626 0.626
6 Ga 0.000 0.000 0.000

***

Energetically preferred structure: model a | next structure: +178 meV/atom

***

Model a:
Below is an optimized crystal structure of AcMgGa4, with properties calculated at the PBE level.

Summary:
**Total moment**: 0.000 μB/cell

Lattice parameters (Å, degrees): 5.746 5.746 5.746 60.00 60.00 60.00
Positions (direct):
1 Ac 0.000 0.000 0.000
2 Mg 0.250 0.250 0.250
3 Ga 0.625 0.625 0.124
4 Ga 0.625 0.124 0.625
5 Ga 0.625 0.625 0.625
6 Ga 0.124 0.625 0.625

***

Model b:
Below is an optimized crystal structure of AcMgGa4, with properties calculated at the PBE level.

Summary:
**Total moment**: 0.000 μB/cell

Lattice parameters (Å, degrees): 4.584 4.584 7.231 90.00 90.00 120.00
Positions (direct):
1 Ac 0.000 0.000 0.500
2 Mg 0.000 0.000 0.000
3 Ga 0.333 0.667 0.200
4 Ga 0.333 0.667 0.800
5 Ga 0.667 0.333 0.200
6 Ga 0.667 0.333 0.800

***

Energetically preferred structure: model b | next structure: +182 meV/atom

***

Model a:
Below is an optimized crystal structure of AcMgGaPd, with properties calculated at the PBE level.

Summary:
**Total moment**: 0.000 μB/cell

Lattice parameters (Å, degrees): 4.676 4.678 5.867 113.56 90.00 119.99
Positions (direct):
1 Ac 0.617 0.234 0.494
2 Mg 0.128 0.257 0.028
3 Ga 0.410 0.819 0.871
4 Pd 0.811 0.622 0.075

***

Model b:
Below is an optimized crystal structure of AcMgGaPd, with properties calculated at the PBE level.

Summary:
**Total moment**: 0.000 μB/cell

Lattice parameters (Å, degrees): 5.129 5.129 5.129 60.00 60.00 60.00
Positions (direct):
1 Mg 0.250 0.250 0.250
2 Ac 0.750 0.750 0.750
3 Ga 0.500 0.500 0.500
4 Pd 0.000 0.000 0.000

***

Energetically preferred structure: model a | next structure: +105 meV/atom

***

Model a:
Below is an optimized crystal structure of Ac4Ga2N, with properties calculated at the PBE level.

Summary:
**Total moment**: 0.000 μB/cell

Lattice parameters (Å, degrees): 4.117 7.058 7.922 75.86 74.94 73.04
Positions (direct):
1 Ac 0.082 0.177 0.660
2 Ac 0.918 0.823 0.340
3 Ac 0.344 0.241 0.072
4 Ac 0.656 0.759 0.928
5 Ga 0.386 0.571 0.658
6 Ga 0.614 0.429 0.342
7 N 0.000 0.000 0.000

***

Model b:
Below is an optimized crystal structure of Ac4Ga2N, with properties calculated at the PBE level.

Summary:
**Total moment**: 0.000 μB/cell

Lattice parameters (Å, degrees): 5.226 5.226 8.974 106.93 106.93 90.00
Positions (direct):
1 Ac 0.826 0.826 0.652
2 Ac 0.174 0.174 0.348
3 Ac 0.000 0.500 0.000
4 Ac 0.500 0.000 0.000
5 Ga 0.630 0.630 0.260
6 Ga 0.370 0.370 0.740
7 N 0.000 0.000 0.000

***

Energetically preferred structure: model a | next structure: +40 meV/atom

***

Model a:
Below is an optimized crystal structure of NaAcGa4, with properties calculated at the PBE level.

Summary:
**Total moment**: 0.000 μB/cell

Lattice parameters (Å, degrees): 4.665 4.359 7.518 90.00 90.00 90.00
Positions (direct):
1 Na 0.999 0.997 0.498
2 Ac 0.999 0.497 0.998
3 Ga 0.499 0.997 0.168
4 Ga 0.499 0.997 0.828
5 Ga 0.499 0.497 0.661
6 Ga 0.499 0.497 0.335

***

Model b:
Below is an optimized crystal structure of NaAcGa4, with properties calculated at the PBE level.

Summary:
**Total moment**: 0.000 μB/cell

Lattice parameters (Å, degrees): 5.770 5.770 5.770 60.00 60.00 60.00
Positions (direct):
1 Na 0.000 0.000 0.000
2 Ac 0.250 0.250 0.250
3 Ga 0.625 0.625 0.125
4 Ga 0.625 0.125 0.625
5 Ga 0.625 0.625 0.625
6 Ga 0.125 0.625 0.625

***

Energetically preferred structure: model a | next structure: +76 meV/atom

***

Model a:
Below is an optimized crystal structure of Ac2NdGa2, with properties calculated at the PBE level.

Summary:
**Total moment**: 0.003 μB/cell

Lattice parameters (Å, degrees): 4.758 6.472 6.467 64.14 68.42 68.43
Positions (direct):
1 Ac 0.699 0.800 0.301
2 Ac 0.301 0.200 0.699
3 Nd 0.500 0.500 0.000
4 Ga 0.000 0.204 0.296
5 Ga 0.000 0.796 0.704

***

Model b:
Below is an optimized crystal structure of Ac2NdGa2, with properties calculated at the PBE level.

Summary:
**Total moment**: 0.000 μB/cell

Lattice parameters (Å, degrees): 4.993 6.794 10.355 82.26 76.05 68.44
Positions (direct):
1 Ac 0.309 0.283 0.098
2 Ac 0.485 0.352 0.679
3 Ac 0.691 0.717 0.902
4 Ac 0.515 0.648 0.321
5 Nd 0.792 0.062 0.353
6 Nd 0.208 0.938 0.647
7 Ga 0.964 0.161 0.911
8 Ga 0.126 0.317 0.431
9 Ga 0.036 0.839 0.089
10 Ga 0.874 0.683 0.569

***

Energetically preferred structure: model b | next structure: +23 meV/atom

***

Model a:
Below is an optimized crystal structure of AcNdGa4, with properties calculated at the PBE level.

Summary:
**Total moment**: 0.000 μB/cell

Lattice parameters (Å, degrees): 5.765 5.765 5.765 60.00 60.00 60.00
Positions (direct):
1 Ac 0.250 0.250 0.250
2 Nd 0.000 0.000 0.000
3 Ga 0.625 0.625 0.124
4 Ga 0.625 0.124 0.625
5 Ga 0.625 0.625 0.625
6 Ga 0.124 0.625 0.625

***

Model b:
Below is an optimized crystal structure of AcNdGa4, with properties calculated at the PBE level.

Summary:
**Total moment**: 0.000 μB/cell

Lattice parameters (Å, degrees): 4.403 4.403 8.198 105.58 105.58 90.00
Positions (direct):
1 Ac 0.000 0.000 0.000
2 Nd 0.250 0.750 0.500
3 Ga 0.669 0.169 0.338
4 Ga 0.586 0.586 0.172
5 Ga 0.831 0.331 0.662
6 Ga 0.414 0.414 0.828

***

Energetically preferred structure: model b | next structure: +141 meV/atom

***

Model a:
Below is an optimized crystal structure of Ac2NdGa6, with properties calculated at the PBE level.

Summary:
**Total moment**: 0.000 μB/cell

Lattice parameters (Å, degrees): 4.593 7.544 7.544 120.00 90.00 90.00
Positions (direct):
1 Ac 0.000 0.333 0.667
2 Ac 0.000 0.667 0.333
3 Nd 0.000 0.000 0.000
4 Ga 0.500 0.329 0.329
5 Ga 0.500 0.671 0.671
6 Ga 0.500 0.000 0.671
7 Ga 0.500 0.671 0.000
8 Ga 0.500 0.329 0.000
9 Ga 0.500 0.000 0.329

***

Model b:
Below is an optimized crystal structure of Ac2NdGa6, with properties calculated at the PBE level.

Summary:
**Total moment**: 0.000 μB/cell

Lattice parameters (Å, degrees): 4.501 8.598 8.598 51.31 74.83 74.83
Positions (direct):
1 Ac 0.346 0.154 0.154
2 Ac 0.654 0.846 0.846
3 Nd 0.500 0.500 0.500
4 Ga 0.146 0.522 0.185
5 Ga 0.854 0.478 0.815
6 Ga 0.854 0.815 0.478
7 Ga 0.000 0.172 0.828
8 Ga 0.000 0.828 0.172
9 Ga 0.146 0.185 0.522

***

Energetically preferred structure: model a | next structure: +247 meV/atom

***

Model a:
Below is an optimized crystal structure of Ac2NdGa, with properties calculated at the PBE level.

Summary:
**Total moment**: 0.000 μB/cell

Lattice parameters (Å, degrees): 3.824 3.824 12.802 81.41 81.41 60.00
Positions (direct):
1 Ac 0.086 0.086 0.742
2 Ac 0.914 0.914 0.258
3 Nd 0.500 0.500 0.500
4 Ga 0.000 0.000 0.000

***

Model b:
Below is an optimized crystal structure of Ac2NdGa, with properties calculated at the PBE level.

Summary:
**Total moment**: 0.000 μB/cell

Lattice parameters (Å, degrees): 3.939 3.939 9.130 90.00 90.00 90.00
Positions (direct):
1 Ac 0.000 0.000 0.794
2 Ac 0.000 0.000 0.206
3 Nd 0.500 0.500 0.500
4 Ga 0.500 0.500 0.000

***

Energetically preferred structure: model b | next structure: +420 meV/atom